1.
Entry from the Alexandria database: Sr2PrAl2As4 after structural relaxation (PBE).

It has space group C2/m (No. 12), with a = 15.607 Å, b = 4.214 Å, c = 7.521 Å, α = 90.00°, β = 108.77° and γ = 90.00°. The asymmetric unit holds Sr at (0.127, 0.000, 0.051), Pr at (0.000, 0.000, 0.500), Al at (0.174, 0.500, 0.485), As at (0.026, 0.500, 0.233) and As at (0.212, 0.000, 0.698).

The value obtained for the density of states at the Fermi level is 3.1 states/eV/f.u. Its formation energy is -8.224 eV per formula unit.

=====

2.
Entry from the Alexandria database: Tb2DyPu3Se6 after structural relaxation (PBE).

It has space group C2/m (No. 12), with a = 17.991 Å, b = 4.098 Å, c = 8.264 Å, α = 90.00°, β = 103.97° and γ = 90.00°. The asymmetric unit holds Tb at (0.167, 0.000, 0.333), Dy at (0.000, 0.500, 0.000), Pu at (0.000, 0.500, 0.500), Pu at (0.167, 0.000, 0.833), Se at (0.001, 0.000, 0.247), Se at (0.165, 0.500, 0.085) and Se at (0.167, 0.500, 0.581).

The value obtained for the density of states at the Fermi level is 26.6 states/eV/f.u. As for the uncorrected formation energy: -1677 meV/atom.

=====

3.
Entry from the Alexandria database: LaGa2NiPt4 after structural relaxation (PBE).

It has space group R-3m (No. 166, hexagonal axes), with a = 4.2960 Å, b = 4.2960 Å, c = 26.5416 Å, α = 90.00°, β = 90.00° and γ = 120.00°. The asymmetric unit holds La at (0.0000, 0.0000, 0.0000), Ga at (0.0000, 0.0000, 0.2360), Ni at (0.0000, 0.0000, 0.5000), Pt at (0.0000, 0.0000, 0.1342) and Pt at (0.0000, 0.0000, 0.4042).

The value obtained for the density of states at the Fermi level is 5.7 states/eV/f.u. Its formation energy is -5.565 eV per formula unit.

=====

4.
Entry from the Alexandria database: SrAlOs2 after structural relaxation (PBE).

It has space group R-3m (No. 166, hexagonal axes), with a = 2.9567 Å, b = 2.9567 Å, c = 27.4848 Å, α = 90.00°, β = 90.00° and γ = 120.00°. The asymmetric unit holds Sr at (0.0000, 0.0000, 0.0000), Al at (0.0000, 0.0000, 0.5000) and Os at (0.0000, 0.0000, 0.2371).

The value obtained for the density of states at the Fermi level is 3.8 states/eV/f.u. Its formation energy is 2.383 eV per formula unit.

=====

5.
Entry from the Alexandria database: TbPr2Sm8 after structural relaxation (PBE).

It has space group C2/m (No. 12), with a = 16.795 Å, b = 6.804 Å, c = 6.797 Å, α = 90.00°, β = 100.49° and γ = 90.00°. The asymmetric unit holds Tb at (0.000, 0.000, 0.000), Pr at (0.198, 0.000, 0.803), Sm at (0.088, 0.263, 0.404), Sm at (0.089, 0.500, 0.910) and Sm at (0.244, 0.000, 0.311).

The value obtained for the density of states at the Fermi level is 17.4 states/eV/f.u. Its formation energy is 1.675 eV per formula unit. Its energy above the lowest structure with this stoichiometry is 137 meV per atom.

=====

6.
Entry from the Alexandria database: ZrMoSe2 after structural relaxation (PBE).

It has space group P2/m (No. 10), with a = 4.320 Å, b = 3.344 Å, c = 5.469 Å, α = 90.00°, β = 110.15° and γ = 90.00°. The asymmetric unit holds Zr at (0.000, 0.000, 0.000), Mo at (0.500, 0.500, 0.500), Se at (0.000, 0.000, 0.500) and Se at (0.500, 0.500, 0.000).

The value obtained for the density of states at the Fermi level is 3.7 states/eV/f.u. Its energy above the lowest structure with this stoichiometry is 227 meV per atom. As for the uncorrected formation energy: -364 meV/atom.

=====

7.
Entry from the Alexandria database: Na6LiPb12 after structural relaxation (PBE).

It has space group R-3 (No. 148, hexagonal axes), with a = 14.1320 Å, b = 14.1320 Å, c = 10.1711 Å, α = 90.00°, β = 90.00° and γ = 120.00°. The asymmetric unit holds Na at (0.0504, 0.2201, 0.2501), Li at (0.0000, 0.0000, 0.5000), Pb at (0.0512, 0.2323, 0.9135) and Pb at (0.0528, 0.2353, 0.5848).

The value obtained for the density of states at the Fermi level is 9.4 states/eV/f.u. Its formation energy is -1.449 eV per formula unit.

=====

8.
Entry from the Alexandria database: Nd3Dy8Er3 after structural relaxation (PBE).

It has space group Immm (No. 71), with a = 5.648 Å, b = 10.781 Å, c = 15.009 Å, α = 90.00°, β = 90.00° and γ = 90.00°. The asymmetric unit holds Nd at (0.000, 0.000, 0.000), Nd at (0.000, 0.500, 0.318), Dy at (0.000, 0.160, 0.280), Dy at (0.000, 0.341, 0.102), Er at (0.000, 0.000, 0.500) and Er at (0.000, 0.296, 0.500).

The value obtained for the density of states at the Fermi level is 22.0 states/eV/f.u. Its formation energy is 1.498 eV per formula unit.

=====

9.
Entry from the Alexandria database: LiYAlAu2 after structural relaxation (PBE).

It has space group I-4m2 (No. 119), with a = 3.943 Å, b = 3.943 Å, c = 12.603 Å, α = 90.00°, β = 90.00° and γ = 90.00°. The asymmetric unit holds Li at (0.000, 0.000, 0.000), Y at (0.000, 0.500, 0.250), Al at (0.000, 0.000, 0.500) and Au at (0.000, 0.500, 0.637).

The value obtained for the density of states at the Fermi level is 2.7 states/eV/f.u. Its formation energy is -3.331 eV per formula unit.

=====

10.
Entry from the Alexandria database: K3Th2PaSe6 after structural relaxation (PBE).

It has space group C2/m (No. 12), with a = 7.281 Å, b = 12.609 Å, c = 8.262 Å, α = 90.00°, β = 107.08° and γ = 90.00°. The asymmetric unit holds K at (0.000, 0.000, 0.000), K at (0.000, 0.332, 0.000), Th at (0.000, 0.166, 0.500), Pa at (0.000, 0.500, 0.500), Se at (0.236, 0.336, 0.716) and Se at (0.245, 0.000, 0.717).

The value obtained for the density of states at the Fermi level is 11.0 states/eV/f.u. As for the uncorrected formation energy: -1459 meV/atom.

=====

11.
Entry from the Alexandria database: Th6Co3OsPt2 after structural relaxation (PBE).

It has space group C2/m (No. 12), with a = 17.773 Å, b = 4.041 Å, c = 8.182 Å, α = 90.00°, β = 104.53° and γ = 90.00°. The asymmetric unit holds Th at (0.003, 0.000, 0.252), Th at (0.160, 0.500, 0.102), Th at (0.166, 0.500, 0.578), Co at (0.000, 0.500, 0.000), Co at (0.171, 0.000, 0.339), Os at (0.000, 0.500, 0.500) and Pt at (0.170, 0.000, 0.845).

The value obtained for the density of states at the Fermi level is 6.8 states/eV/f.u. Its formation energy is -6.816 eV per formula unit.

=====

12.
Entry from the Alexandria database: MgZn2Mo after structural relaxation (PBE).

It has space group R-3m (No. 166, hexagonal axes), with a = 2.8725 Å, b = 2.8725 Å, c = 27.5683 Å, α = 90.00°, β = 90.00° and γ = 120.00°. The asymmetric unit holds Mg at (0.0000, 0.0000, 0.0000), Zn at (0.0000, 0.0000, 0.2468) and Mo at (0.0000, 0.0000, 0.5000).

The value obtained for the density of states at the Fermi level is 2.2 states/eV/f.u. Its formation energy is 0.665 eV per formula unit.

=====

13.
Entry from the Alexandria database: U2Ge4Mo3 after structural relaxation (PBE).

It has space group P2_1/c (No. 14), with a = 7.026 Å, b = 7.029 Å, c = 6.947 Å, α = 90.00°, β = 110.11° and γ = 90.00°. The asymmetric unit holds U at (0.184, 0.163, 0.050), Ge at (0.096, 0.548, 0.866), Ge at (0.496, 0.641, 0.639), Mo at (0.244, 0.655, 0.255) and Mo at (0.500, 0.000, 0.500).

The value obtained for the density of states at the Fermi level is 11.6 states/eV/f.u. Its formation energy is -2.261 eV per formula unit.

=====

14.
Entry from the Alexandria database: NdHo2AlAu4 after structural relaxation (PBE).

It has space group R-3m (No. 166, hexagonal axes), with a = 4.9370 Å, b = 4.9370 Å, c = 25.5040 Å, α = 90.00°, β = 90.00° and γ = 120.00°. The asymmetric unit holds Nd at (0.0000, 0.0000, 0.0000), Ho at (0.0000, 0.0000, 0.2397), Al at (0.0000, 0.0000, 0.5000), Au at (0.0000, 0.0000, 0.1226) and Au at (0.0000, 0.0000, 0.3921).

The value obtained for the density of states at the Fermi level is 3.7 states/eV/f.u. Its formation energy is -5.915 eV per formula unit.

=====

15.
Entry from the Alexandria database: LiB3N after structural relaxation (PBE).

It has space group Pm-3m (No. 221), with a = 3.467 Å, b = 3.467 Å, c = 3.467 Å, α = 90.00°, β = 90.00° and γ = 90.00°. The asymmetric unit holds Li at (0.000, 0.000, 0.000), B at (0.000, 0.500, 0.500) and N at (0.500, 0.500, 0.500).

The value obtained for the density of states at the Fermi level is 2.7 states/eV/f.u. Its energy above the lowest structure with this stoichiometry is 0 meV per atom. As for the uncorrected formation energy: 1777 meV/atom.

=====

16.
Entry from the Alexandria database: CrNi3H after structural relaxation (PBE).

It has space group Pm-3m (No. 221), with a = 3.625 Å, b = 3.625 Å, c = 3.625 Å, α = 90.00°, β = 90.00° and γ = 90.00°. The asymmetric unit holds Cr at (0.000, 0.000, 0.000), Ni at (0.000, 0.500, 0.500) and H at (0.500, 0.500, 0.500).

The value obtained for the density of states at the Fermi level is 4.8 states/eV/f.u. Its energy above the lowest structure with this stoichiometry is 0 meV per atom.

=====

17.
Entry from the Alexandria database: CaMg3Tl after structural relaxation (PBE).

It has space group P1 (No. 1), with a = 4.474 Å, b = 4.479 Å, c = 7.537 Å, α = 72.83°, β = 72.86° and γ = 89.96°. The asymmetric unit holds Ca at (0.000, 0.000, 0.000), Mg at (0.231, 0.733, 0.533), Mg at (0.382, 0.381, 0.236), Mg at (0.731, 0.232, 0.534) and Tl at (0.588, 0.589, 0.822).

The value obtained for the density of states at the Fermi level is 2.7 states/eV/f.u. Its formation energy is -0.464 eV per formula unit. Its energy above the lowest structure with this stoichiometry is 0 meV per atom.

=====

18.
Entry from the Alexandria database: MnCuCl after structural relaxation (PBE).

It has space group F-43m (No. 216), with a = 6.097 Å, b = 6.097 Å, c = 6.097 Å, α = 90.00°, β = 90.00° and γ = 90.00°. The asymmetric unit holds Mn at (0.000, 0.000, 0.000), Cu at (0.250, 0.250, 0.250) and Cl at (0.250, 0.250, 0.750).

The value obtained for the density of states at the Fermi level is 2.6 states/eV/f.u. Its energy above the lowest structure with this stoichiometry is 398 meV per atom. As for the uncorrected formation energy: 409 meV/atom.

=====

19.
Entry from the Alexandria database: MgCoHg after structural relaxation (PBE).

It has space group I4mm (No. 107), with a = 3.136 Å, b = 3.136 Å, c = 10.118 Å, α = 90.00°, β = 90.00° and γ = 90.00°. The asymmetric unit holds Mg at (0.000, 0.000, 0.000), Co at (0.000, 0.000, 0.357) and Hg at (0.000, 0.000, 0.700).

The value obtained for the density of states at the Fermi level is 2.9 states/eV/f.u. Its formation energy is 0.565 eV per formula unit. Its energy above the lowest structure with this stoichiometry is 0 meV per atom.

=====

20.
Entry from the Alexandria database: Pm2SmAs after structural relaxation (PBE).

It has space group P4/mmm (No. 123), with a = 3.855 Å, b = 3.855 Å, c = 7.779 Å, α = 90.00°, β = 90.00° and γ = 90.00°. The asymmetric unit holds Pm at (0.000, 0.000, 0.200), Sm at (0.500, 0.500, 0.500) and As at (0.500, 0.500, 0.000).

The value obtained for the density of states at the Fermi level is 5.8 states/eV/f.u. Its formation energy is -2.149 eV per formula unit. Its energy above the lowest structure with this stoichiometry is 72 meV per atom.

=====

| no. | total moment (μB/f.u.) |
| --- | --- |
| 1 | 0.00 |
| 2 | 17.55 |
| 3 | 0.00 |
| 4 | 0.00 |
| 5 | 0.00 |
| 6 | 0.01 |
| 7 | 0.00 |
| 8 | 0.00 |
| 9 | 0.00 |
| 10 | 2.26 |
| 11 | 0.00 |
| 12 | 0.00 |
| 13 | 4.10 |
| 14 | 0.00 |
| 15 | 0.00 |
| 16 | 3.07 |
| 17 | 0.00 |
| 18 | 4.36 |
| 19 | 0.00 |
| 20 | 0.00 |